No. 1
{
  "formula": "CaYMg",
  "functional": "PBE",
  "state": "relaxed",
  "ef_ev_per_atom": 0.079,
  "sg": "P3m1, No. 156",
  "volume_a3_per_atom": 31.49,
  "energy_ev_per_atom": -3.27,
  "relative_energy_kj_per_mol_atoms": 12.3,
  "lattice_angstrom": [[-4.7066, -2.9494, 0.9683], [4.6653, -1.0785, 2.9766], [-0.9640, 2.3091, 2.3476]],
  "species": ["Ca", "Mg", "Y"],
  "fractional_positions": [[0.0000, 0.0000, 0.0510], [0.6667, 0.3333, 0.2925], [0.3333, 0.6667, 0.6565]]
}

---

No. 2
{
  "formula": "Tb2Ag2Pt15",
  "functional": "PBE",
  "state": "relaxed",
  "ef_ev_per_atom": -0.427,
  "sg": "R-3m, No. 166",
  "volume_a3_per_atom": 17.70,
  "energy_ev_per_atom": -5.98,
  "lattice_angstrom": [[-1.2388, 3.5240, -5.9180], [-0.3019, -5.5748, -4.2197], [-6.9625, -0.7028, 0.0757]],
  "species": ["Tb", "Tb", "Ag", "Ag", "Pt", "Pt", "Pt", "Pt", "Pt", "Pt", "Pt", "Pt", "Pt", "Pt", "Pt", "Pt", "Pt", "Pt", "Pt"],
  "fractional_positions": [[0.3483, 0.3483, 0.3483], [0.6517, 0.6517, 0.6517], [0.1012, 0.1012, 0.1012], [0.8988, 0.8988, 0.8988], [0.5000, 0.0000, 0.0000], [0.0000, 0.0000, 0.5000], [0.0000, 0.5000, 0.0000], [0.0000, 0.6788, 0.3212], [0.6788, 0.3212, 0.0000], [0.3212, 0.0000, 0.6788], [0.3212, 0.6788, 0.0000], [0.6788, 0.0000, 0.3212], [0.0000, 0.3212, 0.6788], [0.1668, 0.6578, 0.6578], [0.6578, 0.6578, 0.1668], [0.6578, 0.1668, 0.6578], [0.8332, 0.3422, 0.3422], [0.3422, 0.3422, 0.8332], [0.3422, 0.8332, 0.3422]]
}

---

No. 3
{
  "formula": "Ba3Tl2InHg6",
  "functional": "PBE",
  "state": "relaxed",
  "ef_ev_per_atom": -0.322,
  "sg": "P-3m1, No. 164",
  "volume_a3_per_atom": 32.67,
  "energy_ev_per_atom": -1.58,
  "lattice_angstrom": [[6.6608, 0.0000, 0.0000], [-3.3304, 5.7684, 0.0000], [0.0000, 0.0000, 10.2033]],
  "species": ["Ba", "Ba", "Ba", "Tl", "Tl", "In", "Hg", "Hg", "Hg", "Hg", "Hg", "Hg"],
  "fractional_positions": [[0.3333, 0.6667, 0.6145], [0.6667, 0.3333, 0.3855], [0.0000, 0.0000, 0.0000], [0.6667, 0.3333, 0.0120], [0.3333, 0.6667, 0.9880], [0.0000, 0.0000, 0.5000], [0.6453, 0.8227, 0.2703], [0.1773, 0.3547, 0.2703], [0.1773, 0.8227, 0.2703], [0.8227, 0.6453, 0.7297], [0.3547, 0.1773, 0.7297], [0.8227, 0.1773, 0.7297]]
}

---

No. 4
{
  "formula": "BaTh2Pa",
  "functional": "PBE",
  "state": "relaxed",
  "ef_ev_per_atom": 0.389,
  "sg": "R-3m, No. 166",
  "volume_a3_per_atom": 34.29,
  "energy_ev_per_atom": -6.18,
  "lattice_angstrom": [[-2.6049, 2.1346, 1.0848], [-2.2437, 1.3915, -2.3555], [-9.2454, -8.8253, 0.9356]],
  "species": ["Pa", "Ba", "Th", "Th"],
  "fractional_positions": [[0.5000, 0.5000, 0.5000], [0.0000, 0.0000, 0.0000], [0.0949, 0.0949, 0.7154], [0.9051, 0.9051, 0.2846]]
}

---

No. 5
{
  "formula": "PmB2Rh6",
  "functional": "PBE",
  "state": "relaxed",
  "ef_ev_per_atom": -0.105,
  "sg": "Fd-3m, No. 227",
  "volume_a3_per_atom": 16.37,
  "energy_ev_per_atom": -7.02,
  "lattice_angstrom": [[7.4693, 0.0000, 0.0000], [3.7347, 6.4686, 0.0000], [3.7347, 2.1562, 6.0987]],
  "species": ["Pm", "Pm", "B", "B", "B", "B", "Rh", "Rh", "Rh", "Rh", "Rh", "Rh", "Rh", "Rh", "Rh", "Rh", "Rh", "Rh"],
  "fractional_positions": [[0.5000, 0.5000, 0.5000], [0.7500, 0.7500, 0.7500], [0.1250, 0.1250, 0.1250], [0.1250, 0.6250, 0.1250], [0.1250, 0.1250, 0.6250], [0.6250, 0.1250, 0.1250], [0.2073, 0.2073, 0.7927], [0.7927, 0.7927, 0.2073], [0.2073, 0.7927, 0.2073], [0.2073, 0.7927, 0.7927], [0.4573, 0.4573, 0.0427], [0.4573, 0.0427, 0.0427], [0.7927, 0.2073, 0.7927], [0.0427, 0.0427, 0.4573], [0.4573, 0.0427, 0.4573], [0.0427, 0.4573, 0.4573], [0.7927, 0.2073, 0.2073], [0.0427, 0.4573, 0.0427]]
}

---

No. 6
{
  "formula": "Rb2GePF6",
  "functional": "PBE",
  "state": "relaxed",
  "sg": "I4/mmm, No. 139",
  "volume_a3_per_atom": 19.07,
  "energy_ev_per_atom": -4.43,
  "raw_formation_energy_ev_per_atom": -2.11,
  "lattice_angstrom": [[6.0052, 0.0000, 0.0000], [0.0000, 6.0052, 0.0000], [3.0026, 3.0026, 5.2874]],
  "species": ["P", "Ge", "Rb", "Rb", "F", "F", "F", "F", "F", "F"],
  "fractional_positions": [[0.5000, 0.5000, 0.0000], [0.0000, 0.0000, 0.0000], [0.7500, 0.2500, 0.5000], [0.2500, 0.7500, 0.5000], [0.2006, 0.2006, 0.5988], [0.7994, 0.7994, 0.4012], [0.2701, 0.2701, 0.0000], [0.7299, 0.7299, 0.0000], [0.7299, 0.2701, 0.0000], [0.2701, 0.7299, 0.0000]]
}

---

No. 7
{
  "formula": "BaLiSnPt",
  "functional": "PBE",
  "state": "relaxed",
  "ef_ev_per_atom": -0.686,
  "sg": "Cm, No. 8",
  "volume_a3_per_atom": 26.98,
  "energy_ev_per_atom": -4.16,
  "lattice_angstrom": [[-1.0770, 0.4494, 4.5509], [-2.7358, -2.5820, -2.8175], [5.2682, -3.0025, 1.5433]],
  "species": ["Ba", "Li", "Sn", "Pt"],
  "fractional_positions": [[0.6220, 0.2441, 0.5078], [0.8081, 0.6162, 0.0666], [0.1060, 0.2121, 0.9602], [0.4301, 0.8602, 0.9328]]
}

---

No. 8
{
  "formula": "PaPd5Pt2",
  "functional": "PBE",
  "state": "relaxed",
  "ef_ev_per_atom": -0.582,
  "sg": "Pbam, No. 55",
  "volume_a3_per_atom": 16.70,
  "energy_ev_per_atom": -6.52,
  "lattice_angstrom": [[4.0951, 0.0000, 0.0000], [0.0000, 5.7513, 0.0000], [0.0000, 0.0000, 11.3453]],
  "species": ["Pa", "Pa", "Pd", "Pd", "Pd", "Pd", "Pd", "Pd", "Pd", "Pd", "Pd", "Pd", "Pt", "Pt", "Pt", "Pt"],
  "fractional_positions": [[0.0000, 0.0000, 0.5000], [0.0000, 0.5000, 0.0000], [0.0000, 0.0000, 0.0000], [0.0000, 0.5000, 0.5000], [0.0000, 0.4961, 0.7536], [0.0000, 0.5039, 0.2464], [0.0000, 0.0039, 0.2536], [0.0000, 0.9961, 0.7464], [0.5000, 0.2430, 0.8735], [0.5000, 0.7570, 0.1265], [0.5000, 0.2570, 0.3735], [0.5000, 0.7430, 0.6265], [0.5000, 0.2491, 0.6235], [0.5000, 0.7509, 0.3765], [0.5000, 0.2509, 0.1235], [0.5000, 0.7491, 0.8765]]
}

---

No. 9
{
  "formula": "Be7Re",
  "functional": "PBE",
  "state": "relaxed",
  "ef_ev_per_atom": 0.018,
  "sg": "Fm-3m, No. 225",
  "volume_a3_per_atom": 9.35,
  "energy_ev_per_atom": -4.80,
  "lattice_angstrom": [[0.0000, 3.3444, 3.3444], [3.3444, 0.0000, 3.3444], [3.3444, 3.3444, 0.0000]],
  "species": ["Be", "Be", "Be", "Be", "Be", "Be", "Be", "Re"],
  "fractional_positions": [[0.5000, 0.5000, 0.0000], [0.5000, 0.0000, 0.5000], [0.5000, 0.0000, 0.0000], [0.0000, 0.0000, 0.5000], [0.0000, 0.5000, 0.0000], [0.0000, 0.5000, 0.5000], [0.5000, 0.5000, 0.5000], [0.0000, 0.0000, 0.0000]]
}

---

No. 10
{
  "formula": "Pr2TmBr2N2",
  "functional": "PBE",
  "state": "relaxed",
  "sg": "I4/mmm, No. 139",
  "volume_a3_per_atom": 24.04,
  "energy_ev_per_atom": -6.29,
  "raw_formation_energy_ev_per_atom": -1.43,
  "lattice_angstrom": [[-0.9592, -3.0664, -3.0796], [2.7707, -2.8611, 1.9860], [-7.2968, 0.1212, 5.3679]],
  "species": ["Pr", "Pr", "Tm", "Br", "Br", "N", "N"],
  "fractional_positions": [[0.4117, 0.4117, 0.8234], [0.5883, 0.5883, 0.1766], [0.0000, 0.0000, 0.0000], [0.1724, 0.1724, 0.3449], [0.8276, 0.8276, 0.6551], [0.0000, 0.5000, 0.0000], [0.5000, 0.0000, 0.0000]]
}

---

No. 11
{
  "formula": "Sn2HPd6",
  "functional": "PBE",
  "state": "relaxed",
  "sg": "C2/m, No. 12",
  "volume_a3_per_atom": 16.58,
  "energy_ev_per_atom": -4.94,
  "relative_energy_kj_per_mol_atoms": 23.3,
  "lattice_angstrom": [[4.6466, 0.0000, 0.2077], [0.0000, 5.6448, 0.0000], [-1.5119, -2.8224, 5.6212]],
  "species": ["Sn", "Sn", "H", "Pd", "Pd", "Pd", "Pd", "Pd", "Pd"],
  "fractional_positions": [[0.6027, 0.6933, 0.3867], [0.3973, 0.3067, 0.6133], [0.0000, 0.0000, 0.0000], [0.0717, 0.3781, 0.2584], [0.9283, 0.1197, 0.7416], [0.9283, 0.6219, 0.7416], [0.5000, 0.2353, 0.0000], [0.0717, 0.8803, 0.2584], [0.5000, 0.7647, 0.0000]]
}

---

No. 12
{
  "formula": "PrEr2Lu",
  "functional": "PBE",
  "state": "relaxed",
  "ef_ev_per_atom": 0.030,
  "sg": "P4/mmm, No. 123",
  "volume_a3_per_atom": 31.55,
  "energy_ev_per_atom": -4.58,
  "relative_energy_kj_per_mol_atoms": 0.0,
  "lattice_angstrom": [[-1.8213, -0.6245, -4.6559], [-2.6673, -3.9327, 1.5709], [-3.8289, 3.0328, 1.0910]],
  "species": ["Pr", "Lu", "Er", "Er"],
  "fractional_positions": [[0.5000, 0.0000, 0.0000], [0.5000, 0.5000, 0.5000], [0.0000, 0.0000, 0.5000], [0.0000, 0.5000, 0.0000]]
}

---

No. 13
{
  "formula": "Tc3S",
  "functional": "PBE",
  "state": "relaxed",
  "sg": "Pmm2, No. 25",
  "volume_a3_per_atom": 15.08,
  "energy_ev_per_atom": -8.71,
  "raw_formation_energy_ev_per_atom": 0.10,
  "lattice_angstrom": [[2.9332, 0.0000, 0.0000], [0.0000, 3.0341, 0.0000], [0.0000, 0.0000, 6.7785]],
  "species": ["S", "Tc", "Tc", "Tc"],
  "fractional_positions": [[0.0000, 0.0000, 0.9947], [0.0000, 0.5000, 0.4843], [0.5000, 0.5000, 0.1448], [0.5000, 0.0000, 0.7095]]
}

---

No. 14
{
  "formula": "LiH2RhI",
  "functional": "PBE",
  "state": "relaxed",
  "sg": "P4/mmm, No. 123",
  "volume_a3_per_atom": 14.67,
  "energy_ev_per_atom": -3.62,
  "lattice_angstrom": [[-2.8571, -2.2377, -0.6114], [2.7718, -4.1257, 2.1472], [-1.3533, 0.8201, 3.3227]],
  "species": ["I", "H", "H", "Rh", "Li"],
  "fractional_positions": [[0.0000, 0.5000, 0.0000], [0.0000, 0.0000, 0.5000], [0.5000, 0.0000, 0.0000], [0.0000, 0.0000, 0.0000], [0.5000, 0.5000, 0.5000]]
}

---

No. 15
{
  "formula": "PmOsC",
  "functional": "PBE",
  "state": "relaxed",
  "ef_ev_per_atom": -0.015,
  "sg": "Pmma, No. 51",
  "volume_a3_per_atom": 17.96,
  "energy_ev_per_atom": -8.42,
  "relative_energy_kj_per_mol_atoms": 0.8,
  "lattice_angstrom": [[-1.9296, 1.0173, 2.6027], [3.4042, -3.1209, 3.7436], [3.1541, 4.2518, 0.6764]],
  "species": ["Pm", "Pm", "Os", "Os", "C", "C"],
  "fractional_positions": [[0.5000, 0.7500, 0.7833], [0.5000, 0.2500, 0.2167], [0.0000, 0.7500, 0.2810], [0.0000, 0.2500, 0.7190], [0.0000, 0.0000, 0.5000], [0.0000, 0.5000, 0.5000]]
}

---

No. 16
{
  "formula": "As3Br",
  "functional": "PBE",
  "state": "relaxed",
  "sg": "P4mm, No. 99",
  "volume_a3_per_atom": 25.90,
  "energy_ev_per_atom": -3.78,
  "raw_formation_energy_ev_per_atom": 0.13,
  "relative_energy_kj_per_mol_atoms": 3.7,
  "lattice_angstrom": [[-2.9007, -2.2500, -1.1061], [2.2991, -1.7118, -2.5472], [1.8394, -4.7602, 4.8592]],
  "species": ["As", "As", "As", "Br"],
  "fractional_positions": [[0.0000, 0.0000, 0.8584], [0.5000, 0.0000, 0.5823], [0.5000, 0.5000, 0.8587], [0.0000, 0.5000, 0.3672]]
}

---

No. 17
{
  "formula": "MgZn2Ge",
  "functional": "PBE",
  "state": "relaxed",
  "ef_ev_per_atom": 0.106,
  "sg": "I-42d, No. 122",
  "volume_a3_per_atom": 18.91,
  "energy_ev_per_atom": -2.08,
  "relative_energy_kj_per_mol_atoms": 10.5,
  "lattice_angstrom": [[-1.8706, 2.6358, 2.3801], [-3.1962, -2.4220, 0.1702], [1.0869, -4.1402, 8.8238]],
  "species": ["Mg", "Mg", "Ge", "Ge", "Zn", "Zn", "Zn", "Zn"],
  "fractional_positions": [[0.5000, 0.5000, 0.0000], [0.2500, 0.7500, 0.5000], [0.0000, 0.0000, 0.0000], [0.7500, 0.2500, 0.5000], [0.6263, 0.1250, 0.2500], [0.1237, 0.6250, 0.2500], [0.3750, 0.3737, 0.7500], [0.8750, 0.8763, 0.7500]]
}

---

No. 18
{
  "formula": "InTeOs2",
  "functional": "PBE",
  "state": "relaxed",
  "sg": "Fm-3m, No. 225",
  "volume_a3_per_atom": 17.58,
  "energy_ev_per_atom": -6.32,
  "raw_formation_energy_ev_per_atom": 0.77,
  "relative_energy_kj_per_mol_atoms": 35.9,
  "lattice_angstrom": [[-0.6025, -2.0264, 4.1221], [-3.8796, -2.3787, 0.8667], [0.1440, -4.6168, 0.3546]],
  "species": ["Te", "Os", "Os", "In"],
  "fractional_positions": [[0.5000, 0.5000, 0.5000], [0.2500, 0.2500, 0.2500], [0.7500, 0.7500, 0.7500], [0.0000, 0.0000, 0.0000]]
}

---

No. 19
{
  "formula": "AcTbPr2Nd6",
  "functional": "PBE",
  "state": "relaxed",
  "ef_ev_per_atom": 0.115,
  "sg": "C2/c, No. 15",
  "volume_a3_per_atom": 36.47,
  "energy_ev_per_atom": -4.58,
  "lattice_angstrom": [[-2.8174, 5.4582, -7.7890], [-5.5219, -6.9674, -2.2223], [-3.0220, 6.1610, 6.0733]],
  "species": ["Ac", "Ac", "Tb", "Tb", "Pr", "Pr", "Pr", "Pr", "Nd", "Nd", "Nd", "Nd", "Nd", "Nd", "Nd", "Nd", "Nd", "Nd", "Nd", "Nd"],
  "fractional_positions": [[0.2500, 0.9778, 0.0222], [0.7500, 0.0222, 0.9778], [0.2500, 0.4099, 0.5901], [0.7500, 0.5901, 0.4099], [0.4553, 0.8029, 0.6885], [0.0447, 0.3115, 0.1971], [0.5447, 0.1971, 0.3115], [0.9553, 0.6885, 0.8029], [0.0546, 0.1281, 0.7467], [0.4454, 0.2533, 0.8719], [0.9454, 0.8719, 0.2533], [0.5546, 0.7467, 0.1281], [0.3117, 0.9837, 0.4362], [0.1883, 0.5638, 0.0163], [0.6883, 0.0163, 0.5638], [0.8117, 0.4362, 0.9837], [0.1171, 0.7086, 0.4986], [0.3829, 0.5014, 0.2914], [0.8829, 0.2914, 0.5014], [0.6171, 0.4986, 0.7086]]
}

---

No. 20
{
  "formula": "ZnBr4Cl",
  "functional": "PBE",
  "state": "relaxed",
  "sg": "F-43m, No. 216",
  "volume_a3_per_atom": 27.32,
  "energy_ev_per_atom": -1.06,
  "raw_formation_energy_ev_per_atom": 0.58,
  "lattice_angstrom": [[0.0000, 4.3437, 4.3437], [4.3437, 0.0000, 4.3437], [4.3437, 4.3437, 0.0000]],
  "species": ["Zn", "Br", "Br", "Br", "Br", "Cl"],
  "fractional_positions": [[0.0000, 0.0000, 0.0000], [0.8753, 0.3749, 0.3749], [0.3749, 0.3749, 0.8753], [0.3749, 0.8753, 0.3749], [0.3749, 0.3749, 0.3749], [0.7500, 0.7500, 0.7500]]
}